1.
Crystalline CaPCl2 at its relaxed geometry, computed with PBEsol.

Values from the calculation:
crystal system: orthorhombic
energy above the lowest structure with this stoichiometry: 0.965 kcal/mol of atoms
ΔE_f (raw): -0.913 eV/atom
final energy: -3.898 eV per atom
Fermi-level density of states: 1.11 states/eV/cell

a b c (Å): 4.618 4.618 5.287
angles (deg): 114.52 114.52 92.86
Atoms (fractional coordinates):
P 0.000 0.000 0.000
Cl 0.500 0.000 0.500
Ca 0.500 0.500 0.000
Cl 0.000 0.500 0.500

---

2.
Crystalline Cu3SiAg at its relaxed geometry, computed with PBEsol.

Values from the calculation:
crystal system: cubic
ΔE_f (raw): 0.499 eV/atom
final energy: -3.913 eV per atom
Fermi-level density of states: 1.88 states/eV/cell

a b c (Å): 4.313 4.313 4.313
angles (deg): 90.00 90.00 90.00
Atoms (fractional coordinates):
Ag 0.500 0.500 0.500
Cu 0.000 0.500 0.000
Cu 0.000 0.000 0.500
Cu 0.500 0.000 0.000
Si 0.000 0.000 0.000

---

3.
Crystalline GaBr at its relaxed geometry, computed with PBEsol.

Values from the calculation:
crystal system: monoclinic
ΔE_f (raw): -0.517 eV/atom
final energy: -3.122 eV per atom

a b c (Å): 4.624 4.912 6.926
angles (deg): 109.40 90.00 118.08
Atoms (fractional coordinates):
Br 0.087 0.174 0.289
Ga 0.202 0.404 0.000
Br 0.913 0.826 0.711
Ga 0.798 0.596 0.000

---

4.
Crystalline SrCa2F at its relaxed geometry, computed with PBEsol.

Values from the calculation:
crystal system: cubic
ΔE_f (raw): -1.415 eV/atom
final energy: -3.423 eV per atom
Fermi-level density of states: 4.46 states/eV/cell

a b c (Å): 7.383 7.383 7.383
angles (deg): 60.00 60.00 60.00
Atoms (fractional coordinates):
Ca 0.625 0.125 0.125
Ca 0.125 0.125 0.625
F 0.000 0.000 0.000
Ca 0.125 0.125 0.125
Ca 0.125 0.625 0.125
F 0.250 0.250 0.250
Sr 0.500 0.500 0.500
Sr 0.750 0.750 0.750

---

5.
Crystalline Cs3BePt at its relaxed geometry, computed with PBEsol.

Values from the calculation:
crystal system: cubic
energy of formation: 982.7 meV per atom
final energy: -1.776 eV per atom
Fermi-level density of states: 12.36 states/eV/cell

a b c (Å): 6.026 6.026 6.026
angles (deg): 90.00 90.00 90.00
Atoms (fractional coordinates):
Cs 0.000 0.500 0.000
Be 0.000 0.000 0.000
Cs 0.500 0.000 0.000
Cs 0.000 0.000 0.500
Pt 0.500 0.500 0.500

---

6.
Crystalline BaAgRu2 at its relaxed geometry, computed with PBEsol.

Values from the calculation:
crystal system: tetragonal
energy of formation: 1106.1 meV per atom
final energy: -5.345 eV per atom
Fermi-level density of states: 5.37 states/eV/cell

a b c (Å): 2.962 2.962 8.681
angles (deg): 90.00 90.00 90.00
Atoms (fractional coordinates):
Ru 0.000 0.000 0.794
Ba 0.500 0.500 0.500
Ag 0.500 0.500 0.000
Ru 0.000 0.000 0.206

---

7.
Crystalline Tb2O3 at its relaxed geometry, computed with PBEsol.

Values from the calculation:
crystal system: cubic
ΔE_f (raw): -3.606 eV/atom
final energy: -8.760 eV per atom
Fermi-level density of states: 0.00 states/eV/cell

a b c (Å): 9.189 9.189 9.189
angles (deg): 109.47 109.47 109.47
Atoms (fractional coordinates):
Tb 0.532 0.250 0.782
O 0.489 0.458 0.728
O 0.011 0.740 0.970
O 0.970 0.730 0.458
O 0.470 0.011 0.240
Tb 0.718 0.468 0.250
O 0.958 0.970 0.230
Tb 0.500 0.000 0.000
O 0.458 0.228 0.989
Tb 0.250 0.782 0.532
O 0.530 0.989 0.760
O 0.042 0.030 0.770
Tb 0.968 0.750 0.718
Tb 0.000 0.000 0.500
Tb 0.282 0.532 0.750
Tb 0.750 0.718 0.968
O 0.270 0.042 0.530
O 0.772 0.511 0.042
O 0.230 0.760 0.772
Tb 0.250 0.282 0.032
Tb 0.032 0.250 0.282
O 0.770 0.240 0.228
Tb 0.468 0.750 0.218
O 0.542 0.772 0.011
Tb 0.500 0.500 0.500
O 0.989 0.260 0.030
O 0.240 0.728 0.270
Tb 0.000 0.500 0.000
O 0.728 0.770 0.740
Tb 0.782 0.032 0.750
O 0.228 0.489 0.958
O 0.760 0.272 0.730
O 0.740 0.470 0.511
O 0.260 0.530 0.489
O 0.730 0.958 0.470
Tb 0.218 0.968 0.250
Tb 0.750 0.218 0.468
O 0.511 0.542 0.272
O 0.030 0.270 0.542
O 0.272 0.230 0.260

---

8.
Crystalline BaScCr2 at its relaxed geometry, computed with PBEsol.

Values from the calculation:
crystal system: tetragonal
energy of formation: 572.1 meV per atom
final energy: -6.737 eV per atom
Fermi-level density of states: 5.01 states/eV/cell

a b c (Å): 3.122 3.122 8.671
angles (deg): 90.00 90.00 90.00
Atoms (fractional coordinates):
Ba 0.500 0.500 0.787
Cr 0.500 0.500 0.209
Cr 0.000 0.000 0.092
Sc 0.000 0.000 0.412

---

Number 1 is which compound? CaPCl2

---

The lowest final energy belongs to which entry? Tb2O3

---

Which value of final energy does entry 5 give? -1.776 eV per atom

---

What is the formula in the second record? Cu3SiAg